An optimized crystal structure of RbSmCoO4. Source: Alexandria via LeMat-Bulk, functional PBE with a Hubbard U.

Electronic total energy: -6.247 eV/atom
Crystal system: monoclinic

abc: 5.667 5.928 7.626
angles: 90.00 103.69 90.00
Space group P2_1/m (No. 11)
Symmetry-distinct sites (fractional):
Rb1 0.176 0.250 0.087
Sm1 0.186 0.750 0.470
Co1 0.359 0.250 0.677
O1 0.152 0.017 0.688
O2 0.334 0.750 0.199
O3 0.390 0.250 0.448